Entry from the Alexandria database: a relaxed ScMnHg crystal (PBE-GGA).

Summary:
* N(E_F): 1.076 states/eV per atom
* ΔH_f (0 K): -0.050 eV per atom
* energy: -5.318 eV per atom

Cell lengths 3.4265, 3.4265, 9.7307 Å; angles 90.00, 90.00, 90.00 degrees
Space group I4mm (No. 107)
One atom of each set of equivalent atoms:
1 Sc 0.0000 0.0000 0.0000
2 Mn 0.0000 0.0000 0.3421
3 Hg 0.0000 0.0000 0.6822

---

Entry from the Alexandria database: a relaxed ScMnHg2 crystal (PBE-GGA).

Summary:
* N(E_F): 0.842 states/eV per atom
* ΔH_f (0 K): -0.027 eV per atom
* energy: -4.054 eV per atom

Cell lengths 4.7378, 4.7378, 3.6454 Å; angles 90.00, 90.00, 90.00 degrees
Space group P4/mmm (No. 123)
One atom of each set of equivalent atoms:
1 Sc 0.0000 0.0000 0.0000
2 Mn 0.5000 0.5000 0.0000
3 Hg 0.0000 0.5000 0.5000

---

Entry from the Alexandria database: a relaxed ScMnHg2 crystal (PBE-GGA).

Summary:
* N(E_F): 0.295 states/eV per atom
* ΔH_f (0 K): -0.025 eV per atom
* energy: -4.051 eV per atom

Cell lengths 3.4385, 3.4385, 6.7956 Å; angles 90.00, 90.00, 90.00 degrees
Space group P4mm (No. 99)
One atom of each set of equivalent atoms:
1 Sc 0.0000 0.0000 0.0000
2 Mn 0.5000 0.5000 0.7693
3 Hg 0.0000 0.0000 0.5444
4 Hg 0.5000 0.5000 0.2578

---

Entry from the Alexandria database: a relaxed ScMnHg2 crystal (PBE-GGA).

Summary:
* N(E_F): 0.673 states/eV per atom
* ΔH_f (0 K): 0.063 eV per atom
* energy: -3.963 eV per atom

Cell lengths 3.3780, 3.3780, 26.0867 Å; angles 90.00, 90.00, 120.00 degrees
Space group R-3m (No. 166, hexagonal axes)
One atom of each set of equivalent atoms:
1 Sc 0.0000 0.0000 0.0000
2 Mn 0.0000 0.0000 0.5000
3 Hg 0.0000 0.0000 0.2463

---

Entry from the Alexandria database: a relaxed ScMnHg2 crystal (PBE-GGA).

Summary:
* N(E_F): 1.406 states/eV per atom
* ΔH_f (0 K): 0.098 eV per atom
* energy: -3.928 eV per atom

Cell lengths 6.8353, 6.8353, 6.8353 Å; angles 90.00, 90.00, 90.00 degrees
Space group F-43m (No. 216)
One atom of each set of equivalent atoms:
1 Sc 0.0000 0.0000 0.0000
2 Mn 0.2500 0.2500 0.7500
3 Hg 0.0000 0.0000 0.5000
4 Hg 0.2500 0.2500 0.2500

---

Entry from the Alexandria database: a relaxed ScMnHg crystal (PBE-GGA).

Summary:
* N(E_F): 0.811 states/eV per atom
* ΔH_f (0 K): 0.257 eV per atom
* energy: -5.010 eV per atom

Cell lengths 6.5392, 6.5392, 6.5392 Å; angles 90.00, 90.00, 90.00 degrees
Space group F-43m (No. 216)
One atom of each set of equivalent atoms:
1 Sc 0.0000 0.0000 0.0000
2 Mn 0.0000 0.0000 0.5000
3 Hg 0.2500 0.2500 0.7500

---

Entry from the Alexandria database: a relaxed Sc3MnHg crystal (PBE-GGA).

Summary:
* relative energy among the computed polymorphs: 0.574 eV per atom
* N(E_F): 1.173 states/eV per atom
* ΔH_f (0 K): 0.683 eV per atom
* energy: -5.010 eV per atom

Cell lengths 5.2686, 5.2686, 5.2686 Å; angles 90.00, 90.00, 90.00 degrees
Space group Pm-3m (No. 221)
One atom of each set of equivalent atoms:
1 Sc 0.0000 0.0000 0.5000
2 Mn 0.5000 0.5000 0.5000
3 Hg 0.0000 0.0000 0.0000

---

Entry from the Alexandria database: a relaxed ScMnHg2 crystal (PBE-GGA).

Summary:
* N(E_F): 0.979 states/eV per atom
* ΔH_f (0 K): -0.059 eV per atom
* energy: -4.085 eV per atom

Cell lengths 3.4137, 3.4312, 6.8324 Å; angles 90.00, 90.00, 90.00 degrees
Space group Pmmm (No. 47)
One atom of each set of equivalent atoms:
1 Sc 0.0000 0.0000 0.0000
2 Mn 0.0000 0.0000 0.5000
3 Hg 0.5000 0.5000 0.2666

---

Entry from the Alexandria database: a relaxed ScMnHg crystal (PBE-GGA).

Summary:
* N(E_F): 0.928 states/eV per atom
* ΔH_f (0 K): 0.006 eV per atom
* energy: -5.262 eV per atom

Cell lengths 4.6640, 4.6640, 3.1914 Å; angles 90.00, 90.00, 120.00 degrees
Space group P3m1 (No. 156)
One atom of each set of equivalent atoms:
1 Sc 0.0000 0.0000 0.0000
2 Mn 0.3333 0.6667 0.5015
3 Hg 0.6667 0.3333 0.4984

---

Entry from the Alexandria database: a relaxed Sc3MnHg crystal (PBE-GGA).

Summary:
* relative energy among the computed polymorphs: 0.000 eV per atom
* N(E_F): 1.190 states/eV per atom
* ΔH_f (0 K): 0.109 eV per atom
* energy: -5.584 eV per atom

Cell lengths 4.8313, 4.8313, 4.8313 Å; angles 90.00, 90.00, 90.00 degrees
Space group Pm-3m (No. 221)
One atom of each set of equivalent atoms:
1 Sc 0.0000 0.0000 0.5000
2 Mn 0.0000 0.0000 0.0000
3 Hg 0.5000 0.5000 0.5000

---

Entry from the Alexandria database: a relaxed ScMnHg2 crystal (PBE-GGA).

Summary:
* N(E_F): 0.793 states/eV per atom
* ΔH_f (0 K): 0.024 eV per atom
* energy: -4.002 eV per atom

Cell lengths 4.5247, 3.2474, 11.3102 Å; angles 90.00, 90.00, 90.00 degrees
Space group Amm2 (No. 38)
One atom of each set of equivalent atoms:
1 Sc 0.0000 0.0000 0.0000
2 Mn 0.5000 0.0000 0.3392
3 Hg 0.0000 0.0000 0.7508
4 Hg 0.5000 0.0000 0.5901

---

Entry from the Alexandria database: a relaxed ScMnHg2 crystal (PBE-GGA).

Summary:
* N(E_F): 0.733 states/eV per atom
* ΔH_f (0 K): 0.028 eV per atom
* energy: -3.998 eV per atom

Cell lengths 10.1509, 3.4610, 4.8605 Å; angles 90.00, 107.56, 90.00 degrees
Space group Cm (No. 8)
One atom of each set of equivalent atoms:
1 Sc 0.0000 0.0000 0.0000
2 Mn 0.2552 0.0000 0.7375
3 Hg 0.0100 0.5000 0.5181
4 Hg 0.2547 0.5000 0.2302

---

Entry from the Alexandria database: a relaxed ScMnHg2 crystal (PBE-GGA).

Summary:
* N(E_F): 1.241 states/eV per atom
* ΔH_f (0 K): 0.274 eV per atom
* energy: -3.752 eV per atom

Cell lengths 4.2833, 4.2833, 19.7997 Å; angles 90.00, 90.00, 90.00 degrees
Space group I-42d (No. 122)
One atom of each set of equivalent atoms:
1 Sc 0.0000 0.0000 0.0000
2 Mn 0.0000 0.0000 0.5000
3 Hg 0.2350 0.2500 0.6250

---

Entry from the Alexandria database: a relaxed ScMnHg2 crystal (PBE-GGA).

Summary:
* N(E_F): 0.700 states/eV per atom
* ΔH_f (0 K): 0.012 eV per atom
* energy: -4.015 eV per atom

Cell lengths 9.2185, 3.3852, 5.5282 Å; angles 90.00, 103.40, 90.00 degrees
Space group C2/m (No. 12)
One atom of each set of equivalent atoms:
1 Sc 0.0000 0.0000 0.0000
2 Mn 0.0000 0.5000 0.5000
3 Hg 0.2442 0.0000 0.7359

---

Entry from the Alexandria database: a relaxed ScMnHg crystal (PBE-GGA).

Summary:
* N(E_F): 0.884 states/eV per atom
* ΔH_f (0 K): 0.128 eV per atom
* energy: -5.140 eV per atom

Cell lengths 3.1695, 3.1695, 6.8650 Å; angles 90.00, 90.00, 120.00 degrees
Space group P3m1 (No. 156)
One atom of each set of equivalent atoms:
1 Sc 0.0000 0.0000 0.0000
2 Mn 0.6667 0.3333 0.6913
3 Hg 0.3333 0.6667 0.3635

---

Entry from the Alexandria database: a relaxed ScMnHg2 crystal (PBE-GGA).

Summary:
* N(E_F): 0.989 states/eV per atom
* ΔH_f (0 K): 0.034 eV per atom
* energy: -3.992 eV per atom

Cell lengths 4.2342, 4.2342, 8.9793 Å; angles 90.00, 90.00, 90.00 degrees
Space group I-4m2 (No. 119)
One atom of each set of equivalent atoms:
1 Sc 0.0000 0.0000 0.0000
2 Mn 0.0000 0.5000 0.2500
3 Hg 0.0000 0.0000 0.5000
4 Hg 0.0000 0.5000 0.7500

---

Entry from the Alexandria database: a relaxed ScMnSnHg crystal (PBE-GGA).

Summary:
* N(E_F): 0.669 states/eV per atom
* ΔH_f (0 K): -0.110 eV per atom
* energy: -5.062 eV per atom

Cell lengths 6.8762, 6.8762, 6.8762 Å; angles 90.00, 90.00, 90.00 degrees
Space group F-43m (No. 216)
One atom of each set of equivalent atoms:
1 Sc 0.0000 0.0000 0.0000
2 Mn 0.0000 0.0000 0.5000
3 Sn 0.2500 0.2500 0.2500
4 Hg 0.2500 0.2500 0.7500

---

Entry from the Alexandria database: a relaxed Sc2TaMnHg crystal (PBE-GGA).

Summary:
* N(E_F): 1.359 states/eV per atom
* ΔH_f (0 K): 0.835 eV per atom
* energy: -5.962 eV per atom

Cell lengths 4.5281, 4.5281, 5.0493 Å; angles 90.00, 90.00, 90.00 degrees
Space group P4/mmm (No. 123)
One atom of each set of equivalent atoms:
1 Sc 0.0000 0.5000 0.0000
2 Ta 0.0000 0.0000 0.5000
3 Mn 0.5000 0.5000 0.0000
4 Hg 0.5000 0.5000 0.5000

---

Entry from the Alexandria database: a relaxed ScTa2MnHg crystal (PBE-GGA).

Summary:
* N(E_F): 1.417 states/eV per atom
* ΔH_f (0 K): 2.199 eV per atom
* energy: -5.702 eV per atom

Cell lengths 4.6971, 4.6971, 5.0872 Å; angles 90.00, 90.00, 90.00 degrees
Space group P4/mmm (No. 123)
One atom of each set of equivalent atoms:
1 Sc 0.0000 0.0000 0.0000
2 Ta 0.0000 0.5000 0.0000
3 Mn 0.5000 0.5000 0.5000
4 Hg 0.0000 0.0000 0.5000

---

Entry from the Alexandria database: a relaxed ZrScMn2Hg crystal (PBE-GGA).

Summary:
* N(E_F): 1.049 states/eV per atom
* ΔH_f (0 K): 1.158 eV per atom
* energy: -5.546 eV per atom

Cell lengths 4.6533, 4.6533, 5.1659 Å; angles 90.00, 90.00, 90.00 degrees
Space group P4/mmm (No. 123)
One atom of each set of equivalent atoms:
1 Zr 0.0000 0.0000 0.0000
2 Sc 0.0000 0.0000 0.5000
3 Mn 0.0000 0.5000 0.5000
4 Hg 0.5000 0.5000 0.0000